Below is a relaxed MgCrIn2O6 crystal, with properties calculated at the GGA+U level.

Summary:
Final energy = -0.430 Ry/atom

CIF file:
```
data_MgCrIn2O6
_symmetry_space_group_name_H-M 'P 4 m m'
_symmetry_Int_Tables_number 99
_cell_length_a 5.2286
_cell_length_b 5.2286
_cell_length_c 4.8337
_cell_angle_alpha 90.00
_cell_angle_beta 90.00
_cell_angle_gamma 90.00
loop_
_symmetry_equiv_pos_as_xyz
'x,y,z'
'-y,x,z'
'-x,-y,z'
'y,-x,z'
'-x,y,z'
'y,x,z'
'x,-y,z'
'-y,-x,z'
loop_
_atom_site_label
_atom_site_type_symbol
_atom_site_fract_x
_atom_site_fract_y
_atom_site_fract_z
Mg1 Mg 0.0000 0.0000 0.0000
Cr1 Cr 0.5000 0.5000 0.0182
In1 In 0.0000 0.5000 0.4031
O1 O 0.0000 0.0000 0.5923
O2 O 0.2609 0.2609 0.1510
O3 O 0.5000 0.5000 0.6661
```